No. 1
DFT (PBE) results for an optimized crystal structure of AlGaHg.

- calculated total energy (eV for the cell shown) = -13.599
- DFT formation energy (eV/f.u.) = 0.27
- V (Å³/f.u.) = 62.0
- SG = P4/nmm, No. 129

```
AlGaHg
1.0
-0.160 -3.880 -1.392
2.230 1.090 -3.295
6.120 -1.553 3.628
Ga Al Hg
2 2 2
Direct
0.500 0.000 0.755 Ga
0.000 0.500 0.245 Ga
0.500 0.500 0.500 Al
0.000 0.000 0.500 Al
0.500 0.000 0.141 Hg
0.000 0.500 0.859 Hg
```



No. 2
DFT (PBE) results for an optimized crystal structure of ZnNiOs.

- energy above the lowest structure with this stoichiometry (meV/atom) = 234
- calculated total energy (eV for the cell shown) = -17.530
- DFT formation energy (eV/f.u.) = 0.75
- V (Å³/f.u.) = 39.3
- SG = P-6m2, No. 187

```
ZnNiOs
1.0
-2.910 -2.721 -1.345
3.123 1.175 -2.560
1.430 -1.950 0.850
Zn Ni Os
1 1 1
Direct
0.333 0.667 0.833 Zn
0.000 0.000 0.834 Ni
0.667 0.333 0.334 Os
```



No. 3
DFT (PBE) results for an optimized crystal structure of Pr2Sm3Tl4.

- energy above the lowest structure with this stoichiometry (meV/atom) = 0
- calculated total energy (eV for the cell shown) = -35.975
- DFT formation energy (eV/f.u.) = -2.79
- V (Å³/f.u.) = 274.3
- SG = C2/m, No. 12

```
Pr2Sm3Tl4
1.0
5.421 0.001 0.001
2.710 4.686 0.170
-0.002 -0.413 10.785
Sm Tl Pr
3 4 2
Direct
0.667 0.667 0.576 Sm
0.333 0.333 0.424 Sm
0.000 0.000 0.000 Sm
0.000 0.000 0.650 Tl
0.334 0.333 0.101 Tl
0.666 0.667 0.899 Tl
0.000 0.000 0.350 Tl
0.333 0.334 0.780 Pr
0.667 0.666 0.220 Pr
```



No. 4
DFT (PBE) results for an optimized crystal structure of AgRh2Pb.

- calculated total energy (eV for the cell shown) = -19.802
- DFT formation energy (eV/f.u.) = 1.46
- V (Å³/f.u.) = 74.4
- SG = R3m, No. 160

```
AgRh2Pb
1.0
-2.910 -3.480 8.411
-4.175 -5.528 6.583
-1.296 -5.848 7.447
Pb Rh Ag
1 2 1
Direct
0.256 0.256 0.256 Pb
0.745 0.745 0.745 Rh
0.007 0.007 0.007 Rh
0.492 0.492 0.492 Ag
```



No. 5
DFT (PBE) results for an optimized crystal structure of Rb3NdAg2I9.

- calculated total energy (eV for the cell shown) = -42.128
- V (Å³/f.u.) = 663.8
- ΔE_f (raw) (meV/atom) = -987
- SG = P-3m1, No. 164

```
Rb3NdAg2I9
1.0
8.495 0.000 0.000
-4.247 7.357 0.000
0.000 0.000 10.622
Ag I Rb Nd
2 9 3 1
Direct
0.667 0.333 0.849 Ag
0.333 0.667 0.151 Ag
0.500 0.500 0.000 I
0.340 0.170 0.672 I
0.000 0.500 0.000 I
0.830 0.660 0.672 I
0.830 0.170 0.672 I
0.500 0.000 0.000 I
0.660 0.830 0.328 I
0.170 0.830 0.328 I
0.170 0.340 0.328 I
0.000 0.000 0.000 Rb
0.333 0.667 0.702 Rb
0.667 0.333 0.298 Rb
0.000 0.000 0.500 Nd
```



No. 6
DFT (PBE) results for an optimized crystal structure of HoCuRhPb.

- calculated total energy (eV for the cell shown) = -21.110
- DFT formation energy (eV/f.u.) = -1.38
- V (Å³/f.u.) = 77.1
- SG = F-43m, No. 216

```
HoCuRhPb
1.0
4.777 0.000 0.000
2.389 4.137 0.000
2.389 1.379 3.901
Ho Pb Cu Rh
1 1 1 1
Direct
0.000 0.000 0.000 Ho
0.500 0.500 0.500 Pb
0.250 0.250 0.250 Cu
0.750 0.750 0.750 Rh
```



No. 7
DFT (PBE) results for an optimized crystal structure of AlV2H3.

- calculated total energy (eV for the cell shown) = -64.142
- V (Å³/f.u.) = 53.7
- SG = Cmcm, No. 63

```
AlV2H3
1.0
-2.289 -3.261 3.306
3.576 -2.854 -0.340
1.405 2.583 3.521
V H Al
4 6 2
Direct
0.000 0.823 0.177 V
0.500 0.823 0.177 V
0.000 0.177 0.823 V
0.500 0.177 0.823 V
0.250 0.421 0.747 H
0.750 0.253 0.579 H
0.750 0.579 0.253 H
0.750 0.108 0.108 H
0.250 0.892 0.892 H
0.250 0.747 0.421 H
0.750 0.653 0.653 Al
0.250 0.347 0.347 Al
```



No. 8
DFT (PBE) results for an optimized crystal structure of Ta2VN.

- calculated total energy (eV for the cell shown) = -87.092
- V (Å³/f.u.) = 55.9
- ΔE_f (raw) (meV/atom) = -599
- SG = Immm, No. 71

```
Ta2VN
1.0
-2.212 -0.643 3.016
-2.368 -4.977 -2.799
5.114 -1.145 1.120
Ta N V
4 2 2
Direct
0.835 0.418 0.669 Ta
0.165 0.582 0.331 Ta
0.834 0.918 0.669 Ta
0.166 0.082 0.331 Ta
0.000 0.250 0.000 N
0.000 0.750 0.000 N
0.500 0.250 0.000 V
0.500 0.750 0.000 V
```



No. 9
DFT (PBE) results for an optimized crystal structure of Sr3Tl.

- calculated total energy (eV for the cell shown) = -66.384
- DFT formation energy (eV/f.u.) = -0.89
- V (Å³/f.u.) = 177.0
- SG = P4_2/n, No. 86

```
Sr3Tl
1.0
6.982 0.000 0.000
0.000 14.241 0.000
0.000 0.000 14.241
Sr Tl
24 8
Direct
0.272 0.866 0.964 Sr
0.513 0.328 0.223 Sr
0.013 0.277 0.828 Sr
0.013 0.723 0.172 Sr
0.728 0.036 0.866 Sr
0.987 0.172 0.277 Sr
0.228 0.634 0.536 Sr
0.487 0.223 0.672 Sr
0.728 0.964 0.134 Sr
0.772 0.464 0.634 Sr
0.487 0.777 0.328 Sr
0.984 0.885 0.417 Sr
0.984 0.115 0.583 Sr
0.016 0.417 0.115 Sr
0.484 0.083 0.385 Sr
0.987 0.828 0.723 Sr
0.513 0.672 0.777 Sr
0.272 0.134 0.036 Sr
0.484 0.917 0.615 Sr
0.228 0.366 0.464 Sr
0.016 0.583 0.885 Sr
0.772 0.536 0.366 Sr
0.516 0.385 0.917 Sr
0.516 0.615 0.083 Sr
0.272 0.547 0.293 Tl
0.228 0.953 0.207 Tl
0.728 0.293 0.453 Tl
0.728 0.707 0.547 Tl
0.272 0.453 0.707 Tl
0.772 0.793 0.953 Tl
0.228 0.047 0.793 Tl
0.772 0.207 0.047 Tl
```



No. 10
DFT (PBE) results for an optimized crystal structure of K2InBr6.

- calculated total energy (eV for the cell shown) = -49.239
- V (Å³/f.u.) = 317.2
- ΔE_f (raw) (meV/atom) = -1072
- SG = P2_1/c, No. 14

```
K2InBr6
1.0
7.773 0.000 -0.051
0.000 8.246 0.000
-0.980 0.000 9.903
Br K In
12 4 2
Direct
0.186 0.276 0.471 Br
0.421 0.501 0.730 Br
0.221 0.318 0.042 Br
0.279 0.818 0.458 Br
0.779 0.682 0.958 Br
0.814 0.724 0.529 Br
0.079 0.001 0.770 Br
0.686 0.224 0.971 Br
0.314 0.776 0.029 Br
0.579 0.499 0.270 Br
0.721 0.182 0.542 Br
0.921 0.999 0.230 Br
0.025 0.573 0.248 K
0.975 0.427 0.752 K
0.525 0.927 0.748 K
0.475 0.073 0.252 K
0.500 0.500 0.000 In
0.000 0.000 0.500 In
```



No. 11
DFT (PBE) results for an optimized crystal structure of ThScAu.

- energy above the lowest structure with this stoichiometry (meV/atom) = 6
- calculated total energy (eV for the cell shown) = -110.708
- DFT formation energy (eV/f.u.) = -1.42
- V (Å³/f.u.) = 75.6
- SG = P2_1/m, No. 11

```
ThScAu
1.0
-0.023 -2.578 -3.710
4.337 -5.224 3.603
-10.859 -5.922 4.181
Th Sc Au
6 6 6
Direct
0.750 0.530 0.390 Th
0.750 0.622 0.078 Th
0.250 0.470 0.610 Th
0.250 0.378 0.922 Th
0.250 0.003 0.718 Th
0.750 0.997 0.282 Th
0.750 0.031 0.916 Sc
0.750 0.150 0.535 Sc
0.250 0.969 0.084 Sc
0.750 0.657 0.786 Sc
0.250 0.850 0.465 Sc
0.250 0.343 0.214 Sc
0.250 0.714 0.248 Au
0.750 0.787 0.585 Au
0.250 0.776 0.904 Au
0.750 0.224 0.096 Au
0.250 0.213 0.415 Au
0.750 0.286 0.752 Au
```



No. 12
DFT (PBE) results for an optimized crystal structure of PaZn2In.

- energy above the lowest structure with this stoichiometry (meV/atom) = 0
- calculated total energy (eV for the cell shown) = -14.895
- DFT formation energy (eV/f.u.) = -0.11
- V (Å³/f.u.) = 81.4
- SG = Fm-3m, No. 225

```
PaZn2In
1.0
-1.238 4.704 -0.005
-2.667 1.817 3.640
2.019 3.050 3.207
Pa Zn In
1 2 1
Direct
0.000 0.000 0.000 Pa
0.750 0.750 0.750 Zn
0.250 0.250 0.250 Zn
0.500 0.500 0.500 In
```



| no. | DOS(E_F) (states/eV/f.u.) |
| --- | --- |
| 1 | 1.20 |
| 2 | 3.87 |
| 3 | 9.61 |
| 4 | 4.92 |
| 5 | 6.21 |
| 6 | 2.62 |
| 7 | 2.27 |
| 8 | 1.93 |
| 9 | 4.74 |
| 10 | 10.41 |
| 11 | 4.38 |
| 12 | 2.51 |